Entry 1:
This record from Alexandria describes a relaxed structure of Ho2HfH. The functional is PBE.

SG ... No. 123
Distance to the lowest polymorph of the same formula ... 0 meV/atom

Cell: 3.229 3.229 7.997 Å, 90.00 90.00 90.00°
Fractional positions:
H  0.500  0.500  0.000
Hf  0.500  0.500  0.500
Ho  0.000  0.000  0.792
Ho  0.000  0.000  0.208

Entry 2:
This record from Alexandria describes a relaxed structure of Er5Tm12Cd2. The functional is PBE.

SG ... No. 12
Energy relative to the elements ... 0.049 eV/atom

Cell: 9.115 9.024 8.013 Å, 90.26 90.00 120.34°
Fractional positions:
Er  0.239  0.479  0.585
Er  0.306  0.613  0.000
Er  0.000  0.000  0.500
Er  0.694  0.387  0.000
Er  0.761  0.521  0.415
Tm  0.908  0.816  0.103
Tm  0.030  0.689  0.755
Tm  0.659  0.689  0.755
Tm  0.178  0.751  0.341
Tm  0.573  0.751  0.341
Tm  0.448  0.896  0.683
Tm  0.552  0.104  0.317
Tm  0.822  0.249  0.659
Tm  0.427  0.249  0.659
Tm  0.970  0.311  0.245
Tm  0.341  0.311  0.245
Tm  0.092  0.184  0.897
Cd  0.691  0.000  0.000
Cd  0.309  0.000  0.000

Entry 3:
This record from Alexandria describes a relaxed structure of Ce2Ho2Pb. The functional is PBE.

SG ... No. 139
Energy relative to the elements ... 0.225 eV/atom

Cell: 4.444 4.444 8.881 Å, 104.49 104.49 90.00°
Site moments in Bohr magnetons follow the coordinates.
Fractional positions:
Ce  0.419  0.419  0.837  0.90
Ce  0.581  0.581  0.163  0.90
Ho  0.750  0.250  0.500  0.16
Ho  0.250  0.750  0.500  0.16
Pb  0.000  0.000  0.000  -0.03

Entry 4:
This record from Alexandria describes a relaxed structure of Ba2Sn2Bi. The functional is PBE.

SG ... No. 127
Energy relative to the elements ... -0.636 eV/atom
Distance to the lowest polymorph of the same formula ... 39 meV/atom

Cell: 8.552 8.552 5.184 Å, 90.00 90.00 90.00°
Fractional positions:
Bi  0.000  0.000  0.000
Bi  0.500  0.500  0.000
Sn  0.379  0.879  0.000
Sn  0.879  0.621  0.000
Sn  0.621  0.121  0.000
Sn  0.121  0.379  0.000
Ba  0.178  0.678  0.500
Ba  0.678  0.822  0.500
Ba  0.822  0.322  0.500
Ba  0.322  0.178  0.500

Entry 5:
This record from Alexandria describes a relaxed structure of TaHg2PdCl. The functional is PBE.

SG ... No. 123
Energy relative to the elements, uncorrected ... 798 meV per atom

Cell: 5.519 4.889 5.519 Å, 90.00 90.00 90.00°
Fractional positions:
Cl  0.500  0.500  0.500
Hg  0.000  0.000  0.500
Hg  0.500  0.000  0.000
Pd  0.000  0.500  0.000
Ta  0.000  0.000  0.000

Entry 6:
This record from Alexandria describes a relaxed structure of Nd6Tl3Co. The functional is PBE.

SG ... No. 14
Energy relative to the elements ... -0.194 eV/atom

Cell: 5.550 9.301 11.483 Å, 90.00 90.12 90.00°
Fractional positions:
Nd  0.513  0.153  0.930
Nd  0.507  0.191  0.559
Nd  0.511  0.491  0.270
Nd  0.489  0.509  0.730
Nd  0.493  0.809  0.441
Nd  0.487  0.847  0.070
Nd  0.013  0.347  0.430
Nd  0.007  0.309  0.059
Nd  0.011  0.009  0.770
Nd  0.989  0.991  0.230
Nd  0.993  0.691  0.941
Nd  0.987  0.653  0.570
Tl  0.509  0.845  0.747
Tl  0.500  0.500  0.000
Tl  0.491  0.155  0.253
Tl  0.009  0.655  0.247
Tl  0.000  0.000  0.500
Tl  0.991  0.345  0.753
Co  0.500  0.500  0.500
Co  0.000  0.000  0.000

Entry 7:
This record from Alexandria describes a relaxed structure of KScPt2. The functional is PBE.

SG ... No. 119
Energy relative to the elements ... -0.136 eV/atom

Cell: 5.377 5.377 5.377 Å, 133.92 133.92 67.21°
Fractional positions:
K  0.750  0.250  0.500
Pt  0.000  0.000  0.000
Pt  0.250  0.750  0.500
Sc  0.500  0.500  0.000

Entry 8:
This record from Alexandria describes a relaxed structure of LiGaSn. The functional is PBE.

SG ... No. 160
Energy relative to the elements ... -0.232 eV/atom

Cell: 7.875 7.875 7.875 Å, 33.61 33.61 33.61°
Fractional positions:
Sn  0.508  0.508  0.508
Sn  0.374  0.374  0.374
Ga  0.998  0.998  0.998
Ga  0.882  0.882  0.882
Li  0.634  0.634  0.634
Li  0.122  0.122  0.122

no.,density of states at the Fermi level (states/eV per atom)
1,1.054
2,1.458
3,2.737
4,0.446
5,1.137
6,0.820
7,0.448
8,0.045